(1)
! CaPd4Pb3, relaxed, DFT GGA-PBE; values from VASP
! **Energy of formation**: -372 meV per atom
! **Space-group type**: No. 12
! **Calculated density**: 10.91 g cm⁻³
! **N(E_F)**: 0.188 states/eV/atom
&SYSTEM
  ibrav = 0, nat = 8, ntyp = 3
/
ATOMIC_SPECIES
Pb 207.20 Pb.upf
Ca 40.08 Ca.upf
Pd 106.42 Pd.upf
CELL_PARAMETERS angstrom
4.723 0.000 -1.275
-0.338 4.717 -1.252
-0.455 -0.512 7.700
ATOMIC_POSITIONS crystal
Pb 0.750 0.249 0.499
Pb 0.250 0.751 0.501
Pb 0.000 0.500 0.000
Ca 0.500 0.000 0.000
Pd 0.622 0.622 0.245
Pd 0.122 0.123 0.245
Pd 0.878 0.877 0.755
Pd 0.378 0.378 0.755

---

(2)
! La6YTl2, relaxed, DFT GGA-PBE; values from VASP
! **Energy of formation**: -178 meV per atom
! **Space-group type**: No. 12
! **Calculated density**: 7.21 g cm⁻³
! **N(E_F)**: 1.389 states/eV/atom
&SYSTEM
  ibrav = 0, nat = 9, ntyp = 3
/
ATOMIC_SPECIES
Tl 204.38 Tl.upf
La 138.91 La.upf
Y 88.91 Y.upf
CELL_PARAMETERS angstrom
3.851 0.000 0.611
1.673 6.521 1.896
0.030 0.137 12.246
ATOMIC_POSITIONS crystal
Tl 0.363 0.086 0.188
Tl 0.637 0.914 0.812
La 0.305 0.794 0.596
La 0.021 0.301 0.657
La 0.695 0.206 0.404
La 0.322 0.481 0.876
La 0.678 0.519 0.124
La 0.979 0.699 0.343
Y 0.000 0.000 0.000

---

(3)
! NpP3Ru2, relaxed, DFT GGA-PBE; values from VASP
! **Energy of formation**: -606 meV per atom
! **Space-group type**: No. 26
! **Calculated density**: 9.05 g cm⁻³
! **N(E_F)**: 1.473 states/eV/atom
&SYSTEM
  ibrav = 0, nat = 12, ntyp = 3
/
ATOMIC_SPECIES
P 30.97 P.upf
Ru 101.07 Ru.upf
Np 237.00 Np.upf
CELL_PARAMETERS angstrom
-1.532 -3.217 -0.561
5.504 -2.479 -0.812
0.495 -1.751 8.697
ATOMIC_POSITIONS crystal
P 0.000 0.794 0.591
P 0.500 0.766 0.281
P 0.500 0.266 0.719
P 0.000 0.294 0.409
P 0.500 0.638 0.912
P 0.500 0.138 0.088
Ru 0.500 0.998 0.507
Ru 0.500 0.498 0.493
Ru 0.000 0.012 0.243
Ru 0.000 0.512 0.757
Np 0.000 0.494 0.132
Np 0.000 0.994 0.868

---

(4)
! B5H9, relaxed, DFT GGA-PBE; values from VASP
! **Raw total energy**: -4.613 eV/atom
! **Space-group type**: No. 107
! **Calculated density**: 0.76 g cm⁻³
! **N(E_F)**: 0.000 states/eV/atom
&SYSTEM
  ibrav = 0, nat = 14, ntyp = 2
/
ATOMIC_SPECIES
H 1.01 H.upf
B 10.81 B.upf
CELL_PARAMETERS angstrom
-3.327 3.650 2.916
-0.839 -1.570 -5.452
-0.808 -4.923 2.830
ATOMIC_POSITIONS crystal
H 0.956 0.296 0.340
H 0.284 0.018 0.000
H 0.018 0.284 0.000
H 0.616 0.956 0.660
H 0.544 0.544 0.000
H 0.018 0.018 0.734
H 0.296 0.956 0.340
H 0.284 0.284 0.266
H 0.956 0.616 0.660
B 0.981 0.157 0.176
B 0.768 0.768 0.000
B 0.805 0.981 0.824
B 0.981 0.805 0.824
B 0.157 0.981 0.176

---

(5)
! Cd3Cu, relaxed, DFT GGA-PBE; values from VASP
! **Energy of formation**: 130 meV per atom
! **Space-group type**: No. 223
! **Calculated density**: 8.29 g cm⁻³
! **N(E_F)**: 0.239 states/eV/atom
&SYSTEM
  ibrav = 0, nat = 8, ntyp = 2
/
ATOMIC_SPECIES
Cd 112.41 Cd.upf
Cu 63.55 Cu.upf
CELL_PARAMETERS angstrom
5.434 0.000 0.000
0.000 5.434 0.000
0.000 0.000 5.434
ATOMIC_POSITIONS crystal
Cd 0.000 0.250 0.500
Cd 0.750 0.500 0.000
Cd 0.500 0.000 0.250
Cd 0.250 0.500 0.000
Cd 0.000 0.750 0.500
Cd 0.500 0.000 0.750
Cu 0.000 0.000 0.000
Cu 0.500 0.500 0.500

---

(6)
! K2HgAu2, relaxed, DFT GGA-PBE; values from VASP
! **Energy of formation**: -294 meV per atom
! **Space-group type**: No. 15
! **Calculated density**: 7.31 g cm⁻³
! **N(E_F)**: 0.256 states/eV/atom
&SYSTEM
  ibrav = 0, nat = 10, ntyp = 3
/
ATOMIC_SPECIES
Hg 200.59 Hg.upf
K 39.10 K.upf
Au 196.97 Au.upf
CELL_PARAMETERS angstrom
6.453 0.000 0.000
-3.226 5.684 0.235
0.000 -2.239 8.245
ATOMIC_POSITIONS crystal
Hg 0.888 0.000 0.250
Hg 0.112 0.000 0.750
K 0.501 0.708 0.861
K 0.793 0.292 0.639
K 0.207 0.708 0.361
K 0.499 0.292 0.139
Au 0.704 0.716 0.490
Au 0.988 0.284 0.010
Au 0.296 0.284 0.510
Au 0.012 0.716 0.990

---

(7)
! ZrIn2W, relaxed, DFT GGA-PBE; values from VASP
! **Energy of formation**: 363 meV per atom
! **Space-group type**: No. 123
! **Calculated density**: 10.36 g cm⁻³
! **N(E_F)**: 0.878 states/eV/atom
&SYSTEM
  ibrav = 0, nat = 4, ntyp = 3
/
ATOMIC_SPECIES
In 114.82 In.upf
W 183.84 W.upf
Zr 91.22 Zr.upf
CELL_PARAMETERS angstrom
3.629 0.000 0.000
0.000 3.629 0.000
0.000 0.000 6.139
ATOMIC_POSITIONS crystal
In 0.000 0.000 0.016
In 0.000 0.000 0.484
W 0.500 0.500 0.250
Zr 0.500 0.500 0.750

---

(8)
! BaTe2Ru, relaxed, DFT GGA-PBE; values from VASP
! **Space-group type**: No. 44
! **Calculated density**: 7.16 g cm⁻³
! **N(E_F)**: 0.484 states/eV/atom
! **Energy relative to the elements, uncorrected**: -333 meV per atom
&SYSTEM
  ibrav = 0, nat = 4, ntyp = 3
/
ATOMIC_SPECIES
Ru 101.07 Ru.upf
Ba 137.33 Ba.upf
Te 127.60 Te.upf
CELL_PARAMETERS angstrom
7.986 0.002 -0.002
6.060 5.201 0.002
-6.927 -2.860 2.758
ATOMIC_POSITIONS crystal
Ru 0.205 0.705 0.500
Ba 0.448 0.448 0.000
Te 0.080 0.080 0.000
Te 0.767 0.267 0.500

---

(9)
! CeHoPtPb, relaxed, DFT GGA-PBE; values from VASP
! **Energy of formation**: -622 meV per atom
! **Space-group type**: No. 216
! **Calculated density**: 11.46 g cm⁻³
! **N(E_F)**: 2.050 states/eV/atom
&SYSTEM
  ibrav = 0, nat = 4, ntyp = 4
/
ATOMIC_SPECIES
Pt 195.08 Pt.upf
Pb 207.20 Pb.upf
Ho 164.93 Ho.upf
Ce 140.12 Ce.upf
CELL_PARAMETERS angstrom
-5.058 1.234 0.697
-3.471 -0.879 -3.843
-3.584 -3.805 0.517
ATOMIC_POSITIONS crystal
Pt 0.500 0.500 0.500
Pb 0.000 0.000 0.000
Ho 0.250 0.250 0.250
Ce 0.750 0.750 0.750

---

(10)
! YIn3H, relaxed, DFT GGA-PBE; values from VASP
! **Raw total energy**: -3.720 eV/atom
! **Space-group type**: No. 221
! **Calculated density**: 6.93 g cm⁻³
! **N(E_F)**: 0.438 states/eV/atom
&SYSTEM
  ibrav = 0, nat = 5, ntyp = 3
/
ATOMIC_SPECIES
H 1.01 H.upf
Y 88.91 Y.upf
In 114.82 In.upf
CELL_PARAMETERS angstrom
4.705 0.000 0.000
0.000 4.705 0.000
0.000 0.000 4.705
ATOMIC_POSITIONS crystal
H 0.000 0.000 0.000
Y 0.500 0.500 0.500
In 0.000 0.500 0.000
In 0.000 0.000 0.500
In 0.500 0.000 0.000

---

(11)
! Na2TaVC, relaxed, DFT GGA-PBE; values from VASP
! **Energy of formation**: 2713 meV per atom
! **Space-group type**: No. 123
! **Calculated density**: 3.02 g cm⁻³
! **N(E_F)**: 1.028 states/eV/atom
&SYSTEM
  ibrav = 0, nat = 5, ntyp = 4
/
ATOMIC_SPECIES
Ta 180.95 Ta.upf
Na 22.99 Na.upf
C 12.01 C.upf
V 50.94 V.upf
CELL_PARAMETERS angstrom
5.971 0.000 0.000
0.000 4.474 0.000
0.000 0.000 5.971
ATOMIC_POSITIONS crystal
Ta 0.000 0.000 0.000
Na 0.000 0.000 0.500
Na 0.500 0.000 0.000
C 0.500 0.500 0.500
V 0.000 0.500 0.000

---

(12)
! CaTaTl2Te, relaxed, DFT GGA-PBE; values from VASP
! **Space-group type**: No. 123
! **Calculated density**: 6.57 g cm⁻³
! **N(E_F)**: 1.109 states/eV/atom
! **Energy relative to the elements, uncorrected**: 1235 meV per atom
&SYSTEM
  ibrav = 0, nat = 5, ntyp = 4
/
ATOMIC_SPECIES
Ca 40.08 Ca.upf
Tl 204.38 Tl.upf
Ta 180.95 Ta.upf
Te 127.60 Te.upf
CELL_PARAMETERS angstrom
-2.229 1.850 5.073
2.424 -4.316 2.640
4.774 3.241 0.915
ATOMIC_POSITIONS crystal
Ca 0.000 0.000 0.000
Tl 0.000 0.000 0.500
Tl 0.500 0.000 0.000
Ta 0.500 0.500 0.500
Te 0.000 0.500 0.000